# PuMn2CuO8

Crystalline PuMn2CuO8 at its relaxed geometry (GGA+U, the Alexandria database).

abc: 6.7376 6.7376 6.6245
angles: 90.00 90.00 90.00
With the nearest neighbours (Å) after each atom.
Space group I-4m2 (No. 119)
Inequivalent atoms, fractional coordinates:
Pu 0.0000 0.0000 0.0000 (multiplicity 2)  4 O 1.96
Mn 0.0000 0.0000 0.5000 (multiplicity 2)  4 O 1.72
Mn 0.0000 0.5000 0.2500 (multiplicity 2)  4 O 1.98
Cu 0.0000 0.5000 0.7500 (multiplicity 2)  4 O 2.14
O 0.0000 0.1921 0.6701 (multiplicity 8)  1 Mn 1.72
O 0.0000 0.2882 0.0420 (multiplicity 8)  1 Pu 1.96, 1 Mn 1.98

Summary:
- magnetic moment (μB/f.u.) = 7.00
- density (g/cm3) = 6.02
- VASP energy (eV per atom) = -7.372